(1)
Here is an optimized crystal structure of Li2GaBi from the Alexandria database. Energies are from PBE. Values from VASP.

Computed properties:
DFT formation energy = 0.055 eV per atom
E_tot = -2.629 eV per atom

Cell and atoms, written as Quantum ESPRESSO input:
```
&SYSTEM
  ibrav = 0, nat = 4, ntyp = 3
/
ATOMIC_SPECIES
Li 6.94 Li.upf
Ga 69.72 Ga.upf
Bi 208.98 Bi.upf
CELL_PARAMETERS angstrom
-1.644 2.776 5.434
1.644 -2.776 5.434
1.644 2.776 -5.434
ATOMIC_POSITIONS crystal
Li 0.242 0.242 0.000
Li 0.758 0.758 0.000
Ga 0.000 0.000 0.000
Bi 0.500 0.500 0.000
```

=====

(2)
Here is an optimized crystal structure of Li3GaBi from the Alexandria database. Energies are from PBE. Values from VASP.

Computed properties:
energy above the lowest structure with this stoichiometry = 364 meV/atom
DFT formation energy = 0.031 eV per atom
E_tot = -2.499 eV per atom

Cell and atoms, written as Quantum ESPRESSO input:
```
&SYSTEM
  ibrav = 0, nat = 5, ntyp = 3
/
ATOMIC_SPECIES
Li 6.94 Li.upf
Ga 69.72 Ga.upf
Bi 208.98 Bi.upf
CELL_PARAMETERS angstrom
4.805 0.000 0.000
0.000 4.805 0.000
0.000 0.000 4.805
ATOMIC_POSITIONS crystal
Li 0.000 0.000 0.500
Li 0.000 0.500 0.000
Li 0.500 0.000 0.000
Ga 0.000 0.000 0.000
Bi 0.500 0.500 0.500
```

=====

(3)
Here is an optimized crystal structure of Li3Ga3Bi from the Alexandria database. Energies are from PBE. Values from VASP.

Computed properties:
DFT formation energy = 0.348 eV per atom
E_tot = -2.324 eV per atom

Cell and atoms, written as Quantum ESPRESSO input:
```
&SYSTEM
  ibrav = 0, nat = 14, ntyp = 3
/
ATOMIC_SPECIES
Li 6.94 Li.upf
Ga 69.72 Ga.upf
Bi 208.98 Bi.upf
CELL_PARAMETERS angstrom
6.915 0.000 0.000
0.000 6.915 0.000
0.000 0.000 6.915
ATOMIC_POSITIONS crystal
Li 0.000 0.250 0.500
Li 0.000 0.750 0.500
Li 0.250 0.500 0.000
Li 0.500 0.000 0.250
Li 0.500 0.000 0.750
Li 0.750 0.500 0.000
Ga 0.000 0.500 0.250
Ga 0.000 0.500 0.750
Ga 0.250 0.000 0.500
Ga 0.500 0.250 0.000
Ga 0.500 0.750 0.000
Ga 0.750 0.000 0.500
Bi 0.000 0.000 0.000
Bi 0.500 0.500 0.500
```

=====

(4)
Here is an optimized crystal structure of Li5GaBi6 from the Alexandria database. Energies are from PBE. Values from VASP.

Computed properties:
DFT formation energy = -0.257 eV per atom
E_tot = -3.247 eV per atom

Cell and atoms, written as Quantum ESPRESSO input:
```
&SYSTEM
  ibrav = 0, nat = 12, ntyp = 3
/
ATOMIC_SPECIES
Li 6.94 Li.upf
Ga 69.72 Ga.upf
Bi 208.98 Bi.upf
CELL_PARAMETERS angstrom
4.345 -7.910 0.000
4.345 7.910 0.000
-3.217 0.000 4.247
ATOMIC_POSITIONS crystal
Li 0.000 0.000 0.000
Li 0.167 0.833 0.500
Li 0.341 0.659 0.000
Li 0.659 0.341 0.000
Li 0.833 0.167 0.500
Ga 0.500 0.500 0.500
Bi 0.072 0.414 0.243
Bi 0.235 0.235 0.731
Bi 0.414 0.072 0.243
Bi 0.586 0.928 0.757
Bi 0.765 0.765 0.269
Bi 0.928 0.586 0.757
```

=====

(5)
Here is an optimized crystal structure of Li2Ga2Bi from the Alexandria database. Energies are from PBE. Values from VASP.

Computed properties:
energy above the lowest structure with this stoichiometry = 70 meV/atom
DFT formation energy = -0.129 eV per atom
E_tot = -2.881 eV per atom

Cell and atoms, written as Quantum ESPRESSO input:
```
&SYSTEM
  ibrav = 0, nat = 5, ntyp = 3
/
ATOMIC_SPECIES
Li 6.94 Li.upf
Ga 69.72 Ga.upf
Bi 208.98 Bi.upf
CELL_PARAMETERS angstrom
-2.057 2.057 6.235
2.057 -2.057 6.235
2.057 2.057 -6.235
ATOMIC_POSITIONS crystal
Li 0.250 0.750 0.500
Li 0.750 0.250 0.500
Ga 0.101 0.101 0.000
Ga 0.899 0.899 0.000
Bi 0.500 0.500 0.000
```

=====

(6)
Here is an optimized crystal structure of Li2GaBi2 from the Alexandria database. Energies are from PBE. Values from VASP.

Computed properties:
energy above the lowest structure with this stoichiometry = 2 meV/atom
DFT formation energy = -0.188 eV per atom
E_tot = -3.112 eV per atom

Cell and atoms, written as Quantum ESPRESSO input:
```
&SYSTEM
  ibrav = 0, nat = 10, ntyp = 3
/
ATOMIC_SPECIES
Li 6.94 Li.upf
Ga 69.72 Ga.upf
Bi 208.98 Bi.upf
CELL_PARAMETERS angstrom
8.495 0.000 0.000
0.000 8.495 0.000
0.000 0.000 3.287
ATOMIC_POSITIONS crystal
Li 0.121 0.379 0.000
Li 0.379 0.879 0.000
Li 0.621 0.121 0.000
Li 0.879 0.621 0.000
Ga 0.000 0.000 0.000
Ga 0.500 0.500 0.000
Bi 0.177 0.677 0.500
Bi 0.323 0.177 0.500
Bi 0.677 0.823 0.500
Bi 0.823 0.323 0.500
```

=====

(7)
Here is an optimized crystal structure of Li3GaBi2 from the Alexandria database. Energies are from PBE. Values from VASP.

Computed properties:
DFT formation energy = -0.219 eV per atom
E_tot = -2.974 eV per atom

Cell and atoms, written as Quantum ESPRESSO input:
```
&SYSTEM
  ibrav = 0, nat = 12, ntyp = 3
/
ATOMIC_SPECIES
Li 6.94 Li.upf
Ga 69.72 Ga.upf
Bi 208.98 Bi.upf
CELL_PARAMETERS angstrom
-3.254 6.578 3.820
3.254 -6.578 3.820
3.254 6.578 -3.820
ATOMIC_POSITIONS crystal
Li 0.026 0.750 0.276
Li 0.250 0.250 0.000
Li 0.474 0.750 0.724
Li 0.526 0.250 0.276
Li 0.750 0.750 0.000
Li 0.974 0.250 0.724
Ga 0.000 0.500 0.500
Ga 0.500 0.000 0.500
Bi 0.140 0.212 0.352
Bi 0.360 0.712 0.072
Bi 0.640 0.288 0.928
Bi 0.860 0.788 0.648
```

=====

(8)
Here is an optimized crystal structure of Li2GaBi from the Alexandria database. Energies are from PBE. Values from VASP.

Computed properties:
DFT formation energy = -0.278 eV per atom
E_tot = -2.962 eV per atom

Cell and atoms, written as Quantum ESPRESSO input:
```
&SYSTEM
  ibrav = 0, nat = 4, ntyp = 3
/
ATOMIC_SPECIES
Li 6.94 Li.upf
Ga 69.72 Ga.upf
Bi 208.98 Bi.upf
CELL_PARAMETERS angstrom
3.411 0.000 0.000
0.000 3.411 0.000
0.000 0.000 6.971
ATOMIC_POSITIONS crystal
Li 0.000 0.000 0.221
Li 0.000 0.000 0.779
Ga 0.500 0.500 0.000
Bi 0.500 0.500 0.500
```

=====

(9)
Here is an optimized crystal structure of Li2Ga2Bi from the Alexandria database. Energies are from PBE. Values from VASP.

Computed properties:
energy above the lowest structure with this stoichiometry = 78 meV/atom
DFT formation energy = -0.121 eV per atom
E_tot = -2.873 eV per atom

Cell and atoms, written as Quantum ESPRESSO input:
```
&SYSTEM
  ibrav = 0, nat = 10, ntyp = 3
/
ATOMIC_SPECIES
Li 6.94 Li.upf
Ga 69.72 Ga.upf
Bi 208.98 Bi.upf
CELL_PARAMETERS angstrom
7.685 0.000 0.000
0.000 7.685 0.000
0.000 0.000 3.442
ATOMIC_POSITIONS crystal
Li 0.140 0.360 0.000
Li 0.360 0.860 0.000
Li 0.640 0.140 0.000
Li 0.860 0.640 0.000
Ga 0.156 0.656 0.500
Ga 0.344 0.156 0.500
Ga 0.656 0.844 0.500
Ga 0.844 0.344 0.500
Bi 0.000 0.000 0.000
Bi 0.500 0.500 0.000
```

=====

(10)
Here is an optimized crystal structure of LiGaBi3 from the Alexandria database. Energies are from PBE. Values from VASP.

Computed properties:
energy above the lowest structure with this stoichiometry = 0 meV/atom
DFT formation energy = 0.257 eV per atom
E_tot = -3.060 eV per atom

Cell and atoms, written as Quantum ESPRESSO input:
```
&SYSTEM
  ibrav = 0, nat = 5, ntyp = 3
/
ATOMIC_SPECIES
Li 6.94 Li.upf
Ga 69.72 Ga.upf
Bi 208.98 Bi.upf
CELL_PARAMETERS angstrom
5.245 0.000 0.000
0.000 5.245 0.000
0.000 0.000 5.245
ATOMIC_POSITIONS crystal
Li 0.000 0.000 0.000
Ga 0.500 0.500 0.500
Bi 0.000 0.000 0.500
Bi 0.000 0.500 0.000
Bi 0.500 0.000 0.000
```

=====

(11)
Here is an optimized crystal structure of Li4GaBi3 from the Alexandria database. Energies are from PBE. Values from VASP.

Computed properties:
DFT formation energy = -0.336 eV per atom
E_tot = -3.127 eV per atom

Cell and atoms, written as Quantum ESPRESSO input:
```
&SYSTEM
  ibrav = 0, nat = 8, ntyp = 3
/
ATOMIC_SPECIES
Li 6.94 Li.upf
Ga 69.72 Ga.upf
Bi 208.98 Bi.upf
CELL_PARAMETERS angstrom
3.426 0.000 0.000
0.000 3.426 0.000
0.000 0.000 14.967
ATOMIC_POSITIONS crystal
Li 0.000 0.000 0.098
Li 0.000 0.000 0.364
Li 0.000 0.000 0.636
Li 0.000 0.000 0.902
Ga 0.500 0.500 0.000
Bi 0.500 0.500 0.225
Bi 0.500 0.500 0.500
Bi 0.500 0.500 0.775
```

=====

(12)
Here is an optimized crystal structure of Li2GaBi from the Alexandria database. Energies are from PBE. Values from VASP.

Computed properties:
DFT formation energy = -0.201 eV per atom
E_tot = -2.885 eV per atom

Cell and atoms, written as Quantum ESPRESSO input:
```
&SYSTEM
  ibrav = 0, nat = 4, ntyp = 3
/
ATOMIC_SPECIES
Li 6.94 Li.upf
Ga 69.72 Ga.upf
Bi 208.98 Bi.upf
CELL_PARAMETERS angstrom
1.651 0.953 9.114
-1.651 0.953 9.114
0.000 -1.907 9.114
ATOMIC_POSITIONS crystal
Li 0.000 0.000 0.000
Li 0.158 0.158 0.158
Ga 0.745 0.745 0.745
Bi 0.580 0.580 0.580
```